Material: NdTmAu
Method: DFT, PBE
State: optimized geometry

a b c (Å): 3.6158 3.6158 12.5764
angles (deg): 90.00 90.00 90.00
Space group I4mm (No. 107)
One atom of each set of equivalent atoms:
Nd 0.0000 0.0000 0.0000
Tm 0.0000 0.0000 0.2885
Au 0.0000 0.0000 0.6666

Results
* raw total energy: -4.700 eV per atom
* offset from the most stable computed form: 83 meV per atom
* V: 164 Å³/cell